No. 1
# Re2GePN

A relaxed Re2GePN crystal (GGA-PBE, Alexandria).

Uncorrected energy (eV for the cell shown): -28.431
Theoretical density (g cm⁻³): 8.8
SG: P4/mmm (123)
Magnetization (μB per cell): 0.0

```
Re2GePN
1.0
4.6140 0.0000 0.0000
0.0000 4.3641 0.0000
0.0000 0.0000 4.6140
Re Ge P N
2 1 1 1
Direct
0.5000 0.0000 0.0000
0.0000 0.0000 0.5000
0.0000 0.0000 0.0000
0.0000 0.5000 0.0000
0.5000 0.5000 0.5000
```

***

No. 2
# Cu2SiNiS4

A relaxed Cu2SiNiS4 crystal (GGA-PBE, Alexandria).

Uncorrected energy (eV for the cell shown): -37.154
Theoretical density (g cm⁻³): 4.0
SG: Cmmm (65)
Magnetization (μB per cell): 0.0

```
Cu2SiNiS4
1.0
3.2720 -3.4862 0.0000
3.2720 3.4862 0.0000
0.0000 0.0000 6.1574
Si S Ni Cu
1 4 1 2
Direct
0.0000 0.0000 0.0000
0.2536 0.2536 0.7558
0.7464 0.7464 0.7558
0.2536 0.2536 0.2442
0.7464 0.7464 0.2442
0.5000 0.5000 0.0000
0.0000 0.5000 0.5000
0.5000 0.0000 0.5000
```

***

No. 3
# LiZr2BAu

A relaxed LiZr2BAu crystal (GGA-PBE, Alexandria).

Theoretical density (g cm⁻³): 7.2
SG: P4/mmm (123)
Energy above the lowest structure with this stoichiometry (meV/atom): 91
ΔH_f (0 K) (eV/f.u.): -0.40
Magnetization (μB per cell): 0.0

```
LiZr2BAu
1.0
4.6478 0.0000 0.0000
0.0000 4.2567 0.0000
0.0000 0.0000 4.6478
Au B Li Zr
1 1 1 2
Direct
0.0000 0.5000 0.0000
0.0000 0.0000 0.0000
0.5000 0.5000 0.5000
0.0000 0.0000 0.5000
0.5000 0.0000 0.0000
```

***

No. 4
# Ca2PdSe

A relaxed Ca2PdSe crystal (GGA-PBE, Alexandria).

Theoretical density (g cm⁻³): 4.8
SG: P4/mmm (123)
Energy above the lowest structure with this stoichiometry (meV/atom): 36
Magnetization (μB per cell): 0.0

```
Ca2PdSe
1.0
-1.0137 0.3263 3.4387
0.8816 -3.4406 0.5864
6.6238 1.9978 1.7631
Ca Pd Se
2 1 1
Direct
0.0000 0.0000 0.2540
0.0000 0.0000 0.7460
0.5000 0.5000 0.0000
0.5000 0.5000 0.5000
```

***

No. 5
# Ga2CoGeBr

A relaxed Ga2CoGeBr crystal (GGA-PBE, Alexandria).

Uncorrected energy (eV for the cell shown): -20.832
Theoretical density (g cm⁻³): 5.8
SG: P4/mmm (123)
Magnetization (μB per cell): 0.0

```
Ga2CoGeBr
1.0
4.7319 0.0000 0.0000
0.0000 4.7319 0.0000
0.0000 0.0000 4.4703
Ge Ga Co Br
1 2 1 1
Direct
0.0000 0.0000 0.5000
0.5000 0.0000 0.0000
0.0000 0.5000 0.0000
0.0000 0.0000 0.0000
0.5000 0.5000 0.5000
```

***

No. 6
# TlCr2As

A relaxed TlCr2As crystal (GGA-PBE, Alexandria).

Theoretical density (g cm⁻³): 8.4
SG: Fm-3m (225)
Energy above the lowest structure with this stoichiometry (meV/atom): 297
ΔH_f (0 K) (eV/f.u.): 2.23
Magnetization (μB per cell): 7.8

```
TlCr2As
1.0
-0.2098 -4.5993 -1.1792
-2.3906 -3.0515 2.7498
-4.0895 -1.8766 -1.5306
As Cr Tl
1 2 1
Direct
0.0000 0.0000 0.0000
0.7500 0.7500 0.7500
0.2500 0.2500 0.2500
0.5000 0.5000 0.5000
```

***

No. 7
# AlCdW2

A relaxed AlCdW2 crystal (GGA-PBE, Alexandria).

Theoretical density (g cm⁻³): 12.2
SG: Pmm2 (25)
Energy above the lowest structure with this stoichiometry (meV/atom): 202
ΔH_f (0 K) (eV/f.u.): 1.81
Magnetization (μB per cell): 0.0

```
AlCdW2
1.0
2.7466 0.0000 0.0000
0.0000 4.1942 0.0000
0.0000 0.0000 5.9749
W Al Cd
2 1 1
Direct
0.0000 0.0000 0.0268
0.5000 0.5000 0.2426
0.0000 0.0000 0.4888
0.5000 0.5000 0.7419
```

***

No. 8
# KNiAs4

A relaxed KNiAs4 crystal (GGA-PBE, Alexandria).

Theoretical density (g cm⁻³): 5.1
SG: F-43m (216)
ΔH_f (0 K) (eV/f.u.): 2.28
Magnetization (μB per cell): 1.0

```
KNiAs4
1.0
0.0000 4.0076 4.0076
4.0076 0.0000 4.0076
4.0076 4.0076 0.0000
K As Ni
1 4 1
Direct
0.7500 0.7500 0.7500
0.8930 0.3690 0.3690
0.3690 0.3690 0.8930
0.3690 0.3690 0.3690
0.3690 0.8930 0.3690
0.0000 0.0000 0.0000
```